# 1
DFT (PBE-GGA) results for an optimized crystal structure of Cd2PtAu.

Results
* total magnetic moment: 0.000 Bohr magnetons per cell
* Fermi-level density of states: 0.82 states/eV per cell
* calculated total energy: -24.037 eV/cell
* DFT formation energy: -0.217 eV/atom

Cell lengths 10.6190, 2.9682, 4.9552 Å; angles 90.00, 105.27, 90.00 degrees
Space group Cm (No. 8)
Asymmetric unit:
Cd 0.0000 0.0000 0.0000
Cd 0.2100 0.0000 0.6196
Pt 0.4684 0.0000 0.4930
Au 0.2533 0.5000 0.1428



# 2
DFT (PBE-GGA) results for an optimized crystal structure of Pm5Th2N5.

Results
* total magnetic moment: 0.001 Bohr magnetons per cell
* Fermi-level density of states: 19.31 states/eV per cell
* calculated total energy: -184.650 eV/cell
* formation energy from raw total energies: -1.01 eV/atom

Cell lengths 11.9971, 3.5211, 12.3634 Å; angles 90.00, 108.00, 90.00 degrees
Space group C2/m (No. 12)
Asymmetric unit:
Pm 0.0000 0.0000 0.0000
Pm 0.1515 0.0000 0.5622
Pm 0.2266 0.0000 0.8765
Th 0.0433 0.5000 0.2891
N 0.0000 0.5000 0.5000
N 0.1193 0.5000 0.9286
N 0.1688 0.0000 0.3758



# 3
DFT (PBE-GGA) results for an optimized crystal structure of YInSe3.

Results
* total magnetic moment: 0.000 Bohr magnetons per cell
* distance to the lowest polymorph of the same formula: 5.770 kcal/mol of atoms
* Fermi-level density of states: 0.00 states/eV per cell
* calculated total energy: -146.214 eV/cell
* formation energy from raw total energies: -0.94 eV/atom

Cell lengths 7.4716, 7.4716, 16.7196 Å; angles 90.00, 90.00, 120.00 degrees
Space group R-3c (No. 167, hexagonal axes)
Asymmetric unit:
Y 0.0000 0.0000 0.2500
In 0.0000 0.0000 0.0000
Se 0.0000 0.3742 0.2500



# 4
DFT (PBE-GGA) results for an optimized crystal structure of Pu2Mg.

Results
* total magnetic moment: 53.533 Bohr magnetons per cell
* distance to the lowest polymorph of the same formula: 10.405 kcal/mol of atoms
* Fermi-level density of states: 58.31 states/eV per cell
* calculated total energy: -112.091 eV/cell
* DFT formation energy: 0.745 eV/atom

Cell lengths 7.2894, 7.2894, 7.2894 Å; angles 90.00, 90.00, 90.00 degrees
Space group Fm-3m (No. 225)
Asymmetric unit:
Pu 0.2500 0.2500 0.2500
Mg 0.0000 0.0000 0.0000



# 5
DFT (PBE-GGA) results for an optimized crystal structure of CaAcGd.

Results
* total magnetic moment: 14.937 Bohr magnetons per cell
* distance to the lowest polymorph of the same formula: 0.000 kcal/mol of atoms
* Fermi-level density of states: 9.12 states/eV per cell
* calculated total energy: -40.091 eV/cell
* DFT formation energy: 0.048 eV/atom

Cell lengths 3.8341, 3.8341, 16.1322 Å; angles 90.00, 90.00, 90.00 degrees
Space group I4mm (No. 107)
Asymmetric unit:
Ca 0.0000 0.0000 0.0000
Ac 0.0000 0.0000 0.6802
Gd 0.0000 0.0000 0.3344



# 6
DFT (PBE-GGA) results for an optimized crystal structure of Co2CuPtN.

Results
* total magnetic moment: 3.073 Bohr magnetons per cell
* distance to the lowest polymorph of the same formula: 0.000 kcal/mol of atoms
* Fermi-level density of states: 4.70 states/eV per cell
* calculated total energy: -32.350 eV/cell
* formation energy from raw total energies: 0.06 eV/atom

Cell lengths 3.7526, 3.7526, 3.9969 Å; angles 90.00, 90.00, 90.00 degrees
Space group P4/mmm (No. 123)
Asymmetric unit:
Co 0.0000 0.5000 0.0000
Cu 0.0000 0.0000 0.5000
Pt 0.5000 0.5000 0.5000
N 0.0000 0.0000 0.0000



# 7
DFT (PBE-GGA) results for an optimized crystal structure of Sm4Ga12Fe.

Results
* total magnetic moment: 3.749 Bohr magnetons per cell
* Fermi-level density of states: 13.70 states/eV per cell
* calculated total energy: -145.832 eV/cell
* DFT formation energy: -0.544 eV/atom

Cell lengths 8.6929, 8.6929, 8.6929 Å; angles 90.00, 90.00, 90.00 degrees
Space group Im-3m (No. 229)
Asymmetric unit:
Sm 0.2500 0.2500 0.2500
Ga 0.0000 0.0000 0.2852
Ga 0.0000 0.2500 0.5000
Fe 0.0000 0.0000 0.0000



# 8
DFT (PBE-GGA) results for an optimized crystal structure of La4TlGa.

Results
* total magnetic moment: 0.000 Bohr magnetons per cell
* distance to the lowest polymorph of the same formula: 0.093 kcal/mol of atoms
* Fermi-level density of states: 29.81 states/eV per cell
* calculated total energy: -108.451 eV/cell
* DFT formation energy: -0.335 eV/atom

Cell lengths 9.1890, 14.1100, 6.3127 Å; angles 90.00, 110.97, 90.00 degrees
Space group C2/c (No. 15)
Asymmetric unit:
La 0.1131 0.1837 0.0650
La 0.1976 0.4140 0.3553
Tl 0.0000 0.3819 0.7500
Ga 0.0000 0.0014 0.7500



# 9
DFT (PBE-GGA) results for an optimized crystal structure of Ga2FeNi2.

Results
* total magnetic moment: 3.538 Bohr magnetons per cell
* distance to the lowest polymorph of the same formula: 2.097 kcal/mol of atoms
* Fermi-level density of states: 7.35 states/eV per cell
* calculated total energy: -52.914 eV/cell
* DFT formation energy: -0.076 eV/atom

Cell lengths 2.6650, 17.8104, 2.6702 Å; angles 90.00, 90.00, 90.00 degrees
Space group Cmmm (No. 65)
Asymmetric unit:
Ga 0.0000 0.1022 0.0000
Fe 0.0000 0.5000 0.5000
Ni 0.0000 0.3077 0.5000



# 10
DFT (PBE-GGA) results for an optimized crystal structure of YbIr6.

Results
* total magnetic moment: 0.612 Bohr magnetons per cell
* Fermi-level density of states: 52.00 states/eV per cell
* calculated total energy: -103.818 eV/cell
* DFT formation energy: 0.398 eV/atom

Cell lengths 6.8371, 6.8371, 6.8371 Å; angles 90.00, 90.00, 90.00 degrees
Space group Im-3m (No. 229)
Asymmetric unit:
Yb 0.0000 0.0000 0.0000
Ir 0.0000 0.2500 0.5000



# 11
DFT (PBE-GGA) results for an optimized crystal structure of KSb2Se.

Results
* total magnetic moment: 0.000 Bohr magnetons per cell
* distance to the lowest polymorph of the same formula: 10.714 kcal/mol of atoms
* Fermi-level density of states: 2.68 states/eV per cell
* calculated total energy: -12.396 eV/cell
* formation energy from raw total energies: 0.11 eV/atom

Cell lengths 3.5185, 3.5185, 9.2851 Å; angles 90.00, 90.00, 90.00 degrees
Space group P4/mmm (No. 123)
Asymmetric unit:
K 0.0000 0.0000 0.0000
Sb 0.5000 0.5000 0.2998
Se 0.0000 0.0000 0.5000



# 12
DFT (PBE-GGA) results for an optimized crystal structure of InAgTeF2.

Results
* total magnetic moment: 0.000 Bohr magnetons per cell
* Fermi-level density of states: 1.65 states/eV per cell
* calculated total energy: -16.092 eV/cell
* formation energy from raw total energies: -0.72 eV/atom

Cell lengths 4.3292, 4.3292, 6.5358 Å; angles 90.00, 90.00, 90.00 degrees
Space group P4/mmm (No. 123)
Asymmetric unit:
In 0.0000 0.0000 0.0000
Ag 0.5000 0.5000 0.0000
Te 0.0000 0.0000 0.5000
F 0.0000 0.5000 0.5000